Computed, not measured: a geometry-optimized HfMg5Ag6 structure at the PBE level of DFT.

Cell: 4.7447 6.7189 14.1751 Å, 90.00 90.00 90.00°
Space group Immm (No. 71)
Asymmetric unit:
Hf  0.0000  0.0000  0.0000
Mg  0.0000  0.0000  0.3330
Mg  0.0000  0.5000  0.0000
Mg  0.0000  0.5000  0.3347
Ag  0.0000  0.2510  0.5000
Ag  0.0000  0.2528  0.1661

Values from the calculation:
- Total moment: 0.0 μB per formula unit
- Volume: 452 Å³/cell
- Calculated total energy: -3.08 eV/atom